Entry 1:
# BePt3

A geometry-optimized BePt3 structure (PBE-GGA, Alexandria via LeMat-Bulk).

Unit cell a=3.8438 b=3.8438 c=3.8438 alpha=90.00 beta=90.00 gamma=90.00
With the nearest neighbours (Å) after each atom.
Space group Pm-3m (No. 221)
Inequivalent atoms, fractional coordinates:
Be 0.0000 0.0000 0.0000  12 Pt 2.72
Pt 0.0000 0.5000 0.5000  8 Pt 2.72, 4 Be 2.72

Summary:
Total magnetic moment   0.000 μB per formula unit
Raw total energy   -5.737 eV/atom
Theoretical density   17.38 Mg/m³
ΔE_f   -0.28 eV per atom


Entry 2:
# TiNbCd2

A geometry-optimized TiNbCd2 structure (PBE-GGA, Alexandria via LeMat-Bulk).

Unit cell a=7.7704 b=7.7704 c=5.4237 alpha=90.00 beta=90.00 gamma=90.00
With the nearest neighbours (Å) after each atom.
Space group I-42d (No. 122)
Inequivalent atoms, fractional coordinates:
Ti 0.0000 0.0000 0.0000  2 Nb 2.71, 4 Cd 2.79
Nb 0.0000 0.0000 0.5000  2 Ti 2.71, 4 Cd 2.87
Cd 0.2425 0.2500 0.1250  2 Cd 2.71, 2 Ti 2.79, 2 Nb 2.87

Summary:
Total magnetic moment   0.000 μB per formula unit
Raw total energy   -4.395 eV/atom
Theoretical density   7.42 Mg/m³
ΔE_f   0.55 eV per atom
Energy above the most stable polymorph in this dataset   264.2 meV/atom


Entry 3:
# LiIn2P

A geometry-optimized LiIn2P structure (PBE-GGA, Alexandria via LeMat-Bulk).

Unit cell a=4.9698 b=10.5020 c=3.9390 alpha=90.00 beta=90.00 gamma=90.00
With the nearest neighbours (Å) after each atom.
Space group Cmmm (No. 65)
Inequivalent atoms, fractional coordinates:
Li 0.0000 0.0000 0.0000  2 P 2.48
In 0.0000 0.3236 0.5000  2 P 2.70, 2 In 2.93
P 0.0000 0.5000 0.0000  2 Li 2.48, 4 In 2.70

Summary:
Total magnetic moment   0.000 μB per formula unit
Raw total energy   -3.369 eV/atom
Theoretical density   4.32 Mg/m³
ΔE_f   -0.17 eV per atom


Entry 4:
# PmZr2Rh

A geometry-optimized PmZr2Rh structure (PBE-GGA, Alexandria via LeMat-Bulk).

Unit cell a=4.3703 b=4.3703 c=18.3840 alpha=90.00 beta=90.00 gamma=120.00
With the nearest neighbours (Å) after each atom.
Space group R3m (No. 160, hexagonal axes)
Inequivalent atoms, fractional coordinates:
Pm 0.0000 0.0000 0.0000  6 Zr 3.21-3.36, 1 Rh 3.35
Zr 0.0000 0.0000 0.2126  3 Rh 2.76
Zr 0.0000 0.0000 0.4413  3 Rh 2.65
Rh 0.0000 0.0000 0.8180  6 Zr 2.65-2.76

Summary:
Total magnetic moment   0.000 μB per formula unit
Raw total energy   -7.466 eV/atom
Theoretical density   7.05 Mg/m³
ΔE_f   -0.17 eV per atom
Energy above the most stable polymorph in this dataset   107.1 meV/atom


Entry 5:
# Mn3SiH

A geometry-optimized Mn3SiH structure (PBE-GGA, Alexandria via LeMat-Bulk).

Unit cell a=2.6026 b=3.6818 c=4.9906 alpha=90.00 beta=90.00 gamma=90.00
With the nearest neighbours (Å) after each atom.
Space group Pmmm (No. 47)
Inequivalent atoms, fractional coordinates:
Mn 0.0000 0.0000 0.0000  2 H 1.84
Mn 0.5000 0.5000 0.2593  2 H 1.84
Si 0.0000 0.0000 0.5000  10 Mn 2.50-2.55, 2 Si 2.60
H 0.0000 0.5000 0.0000  6 Mn 1.84

Summary:
Total magnetic moment   1.860 μB per formula unit
Raw total energy   -7.441 eV/atom
Theoretical density   6.73 Mg/m³
Energy above the most stable polymorph in this dataset   57.7 meV/atom


Entry 6:
# Cd2TcOs

A geometry-optimized Cd2TcOs structure (PBE-GGA, Alexandria via LeMat-Bulk).

Unit cell a=9.7446 b=2.8548 c=4.9314 alpha=90.00 beta=99.88 gamma=90.00
With the nearest neighbours (Å) after each atom.
Space group C2/m (No. 12)
Inequivalent atoms, fractional coordinates:
Cd 0.2490 0.0000 0.2498  6 Cd 2.85, 3 Os 2.90-2.92, 3 Tc 2.90-2.92
Tc 0.0000 0.0000 0.5000  4 Os 2.85, 2 Tc 2.85, 6 Cd 2.90-2.92
Os 0.0000 0.5000 0.0000  4 Tc 2.85, 2 Os 2.85, 6 Cd 2.90-2.92

Summary:
Total magnetic moment   0.001 μB per formula unit
Raw total energy   -5.252 eV/atom
Theoretical density   12.61 Mg/m³
ΔE_f   0.60 eV per atom
Energy above the most stable polymorph in this dataset   446.6 meV/atom


Entry 7:
# Hf6Hg3C

A geometry-optimized Hf6Hg3C structure (PBE-GGA, Alexandria via LeMat-Bulk).

Unit cell a=5.9250 b=7.5141 c=10.8911 alpha=90.00 beta=120.40 gamma=90.00
With the nearest neighbours (Å) after each atom.
Space group P2_1/c (No. 14)
Inequivalent atoms, fractional coordinates:
Hf 0.0585 0.0492 0.2169  1 C 2.24
Hf 0.1702 0.7264 0.0636  1 C 2.24
Hf 0.3888 0.1366 0.0523  1 C 2.31
Hg 0.3214 0.1157 0.7305  7 Hf 2.83-3.16
Hg 0.5000 0.0000 0.5000  6 Hf 2.88-2.93
C 0.0000 0.0000 0.0000  6 Hf 2.24-2.31

Summary:
Total magnetic moment   0.000 μB per formula unit
Raw total energy   -7.091 eV/atom
Theoretical density   13.38 Mg/m³
ΔE_f   -0.11 eV per atom


Entry 8:
# Nd6Si2AsSe3

A geometry-optimized Nd6Si2AsSe3 structure (PBE-GGA, Alexandria via LeMat-Bulk).

Unit cell a=18.6266 b=4.2595 c=8.5647 alpha=90.00 beta=103.52 gamma=90.00
With the nearest neighbours (Å) after each atom.
Space group C2/m (No. 12)
Inequivalent atoms, fractional coordinates:
Nd 0.0040 0.0000 0.2462  1 Si 2.94, 2 As 2.99, 3 Se 3.06-3.07
Nd 0.1654 0.5000 0.0924  2 Si 2.96, 1 As 3.00, 3 Se 3.06-3.07
Nd 0.1691 0.5000 0.5772  3 Si 2.98, 3 Se 3.06-3.07
Si 0.1665 0.0000 0.3331  6 Nd 2.94-2.98
As 0.0000 0.5000 0.0000  6 Nd 2.99-3.00
Se 0.0000 0.5000 0.5000  6 Nd 3.06
Se 0.1656 0.0000 0.8342  6 Nd 3.06-3.07

Summary:
Total magnetic moment   0.000 μB per formula unit
Raw total energy   -6.007 eV/atom
Theoretical density   6.20 Mg/m³
Uncorrected formation energy   -1461 meV per atom


Entry 9:
# Pr2NdCd

A geometry-optimized Pr2NdCd structure (PBE-GGA, Alexandria via LeMat-Bulk).

Unit cell a=3.7773 b=3.7773 c=9.1247 alpha=90.00 beta=90.00 gamma=90.00
With the nearest neighbours (Å) after each atom.
Space group P4/mmm (No. 123)
Inequivalent atoms, fractional coordinates:
Pr 0.0000 0.0000 0.2234  4 Cd 3.36, 4 Nd 3.67
Nd 0.5000 0.5000 0.5000  8 Pr 3.67, 4 Nd 3.78
Cd 0.5000 0.5000 0.0000  8 Pr 3.36

Summary:
Total magnetic moment   0.000 μB per formula unit
Raw total energy   -3.961 eV/atom
Theoretical density   6.87 Mg/m³
ΔE_f   -0.15 eV per atom
Energy above the most stable polymorph in this dataset   0.0 meV/atom


Entry 10:
# MgTl2Cl2

A geometry-optimized MgTl2Cl2 structure (PBE-GGA, Alexandria via LeMat-Bulk).

Unit cell a=8.5682 b=8.5682 c=4.2238 alpha=90.00 beta=90.00 gamma=90.00
With the nearest neighbours (Å) after each atom.
Space group P4/mbm (No. 127)
Inequivalent atoms, fractional coordinates:
Mg 0.0000 0.0000 0.0000  4 Tl 3.26
Tl 0.1503 0.3497 0.0000  6 Cl 3.13-3.39, 2 Mg 3.26
Cl 0.1588 0.6588 0.5000  6 Tl 3.13-3.39

Summary:
Total magnetic moment   0.000 μB per formula unit
Raw total energy   -2.580 eV/atom
Theoretical density   5.40 Mg/m³
Energy above the most stable polymorph in this dataset   0.0 meV/atom
Uncorrected formation energy   -576 meV per atom


Entry 11:
# Mg4Si7

A geometry-optimized Mg4Si7 structure (PBE-GGA, Alexandria via LeMat-Bulk).

Unit cell a=3.9334 b=7.2041 c=14.5995 alpha=85.46 beta=82.34 gamma=89.95
With the nearest neighbours (Å) after each atom.
Space group P1 (No. 1)
Inequivalent atoms, fractional coordinates:
Mg 0.0000 0.0000 0.0000  8 Si 2.79-3.11
Mg 0.0266 0.4933 0.9450  8 Si 2.80-3.13, 1 Mg 2.99
Mg 0.1084 0.8864 0.7816  8 Si 2.78-3.01
Mg 0.1458 0.3872 0.7076  5 Si 2.80-3.10, 1 Mg 3.13
Mg 0.5709 0.1896 0.8531  4 Si 2.78-2.88
Mg 0.7318 0.4255 0.5347  10 Si 2.87-3.10, 2 Mg 3.18
Mg 0.7802 0.9250 0.4410  9 Si 2.81-3.05
Mg 0.9249 0.4481 0.1525  6 Si 2.70-2.90, 1 Mg 2.99
Si 0.2177 0.7224 0.5597  4 Si 2.44-2.67
Si 0.2202 0.0928 0.5580  4 Si 2.42-2.67
Si 0.2958 0.2758 0.4099  4 Si 2.39-2.46
Si 0.3007 0.6182 0.4022  4 Si 2.41-2.46
Si 0.4294 0.9937 0.1426  4 Si 2.41-2.48
Si 0.4624 0.6892 0.0744  2 Si 2.39-2.48
Si 0.4793 0.2757 0.0400  1 Si 2.42
Si 0.5421 0.7991 0.9145  2 Si 2.38-2.39
Si 0.5968 0.5706 0.8046  2 Si 2.38-2.40
Si 0.6680 0.1001 0.6625  3 Si 2.48-2.54
Si 0.6694 0.7479 0.6572  4 Si 2.40-2.54
Si 0.8409 0.2476 0.3185  3 Si 2.37-2.39
Si 0.8490 0.6596 0.3057  3 Si 2.38-2.42
Si 0.8821 0.9728 0.2389  4 Si 2.37-2.41

Summary:
Total magnetic moment   0.000 μB per formula unit
Raw total energy   -3.934 eV/atom
Theoretical density   2.39 Mg/m³
Energy above the most stable polymorph in this dataset   1.3 meV/atom
Uncorrected formation energy   97 meV per atom


Entry 12:
# Mg6Cd5Si

A geometry-optimized Mg6Cd5Si structure (PBE-GGA, Alexandria via LeMat-Bulk).

Unit cell a=4.8734 b=7.1870 c=7.4073 alpha=90.00 beta=103.29 gamma=90.00
With the nearest neighbours (Å) after each atom.
Space group P2/m (No. 10)
Inequivalent atoms, fractional coordinates:
Mg 0.0000 0.2329 0.0000  2 Si 2.96, 6 Cd 3.03-3.10, 2 Mg 3.20
Mg 0.3418 0.2460 0.6796  1 Si 2.92, 7 Cd 2.95-3.10, 1 Mg 3.20
Cd 0.1647 0.5000 0.3333  8 Mg 3.04-3.10, 2 Cd 3.24-3.26
Cd 0.1753 0.0000 0.3480  8 Mg 2.98-3.05, 1 Cd 3.12, 1 Si 3.32
Cd 0.5000 0.5000 0.0000  8 Mg 2.95-3.10, 2 Cd 3.26
Si 0.5000 0.0000 0.0000  8 Mg 2.92-2.96

Summary:
Total magnetic moment   0.000 μB per formula unit
Raw total energy   -1.678 eV/atom
Theoretical density   4.84 Mg/m³
Uncorrected formation energy   -48 meV per atom


Entry 13:
# BaTl2Se

A geometry-optimized BaTl2Se structure (PBE-GGA, Alexandria via LeMat-Bulk).

Unit cell a=4.5034 b=4.5034 c=7.6830 alpha=90.00 beta=90.00 gamma=90.00
With the nearest neighbours (Å) after each atom.
Space group P4mm (No. 99)
Inequivalent atoms, fractional coordinates:
Ba 0.0000 0.0000 0.0000  4 Se 3.20
Tl 0.0000 0.0000 0.4869  4 Tl 3.42, 1 Ba 3.74
Tl 0.5000 0.5000 0.6475  1 Se 3.02
Se 0.5000 0.5000 0.0409  1 Tl 3.02, 4 Ba 3.20

Summary:
Total magnetic moment   0.000 μB per formula unit
Raw total energy   -3.274 eV/atom
Theoretical density   6.66 Mg/m³
Uncorrected formation energy   -739 meV per atom


Entry 14:
# Li2Ga3Pd4

A geometry-optimized Li2Ga3Pd4 structure (PBE-GGA, Alexandria via LeMat-Bulk).

Unit cell a=5.5606 b=14.2610 c=7.4886 alpha=90.00 beta=90.00 gamma=90.00
With the nearest neighbours (Å) after each atom.
Space group Cmce (No. 64)
Inequivalent atoms, fractional coordinates:
Li 0.0000 0.1025 0.0784  8 Pd 2.89-3.21, 4 Ga 2.98-3.20, 1 Li 3.15
Ga 0.0000 0.0000 0.5000  6 Pd 2.48-2.55
Ga 0.2500 0.2357 0.7500  5 Pd 2.51-2.58, 2 Ga 2.78
Pd 0.0000 0.1786 0.4807  5 Ga 2.53-2.58
Pd 0.2500 0.0598 0.7500  3 Ga 2.48-2.51, 2 Pd 2.78

Summary:
Total magnetic moment   0.000 μB per formula unit
Raw total energy   -4.308 eV/atom
Theoretical density   7.26 Mg/m³
ΔE_f   -0.57 eV per atom
Energy above the most stable polymorph in this dataset   54.2 meV/atom


Entry 15:
# MgInW2

A geometry-optimized MgInW2 structure (PBE-GGA, Alexandria via LeMat-Bulk).

Unit cell a=3.2581 b=4.7982 c=9.5065 alpha=90.00 beta=90.00 gamma=90.00
With the nearest neighbours (Å) after each atom.
Space group Cmm2 (No. 35)
Inequivalent atoms, fractional coordinates:
Mg 0.0000 0.0000 0.0000  2 W 2.85, 4 Mg 2.90, 2 In 3.11
In 0.0000 0.5000 0.2788  4 In 2.90, 2 W 2.95, 2 Mg 3.11
W 0.0000 0.0000 0.5380  6 W 2.62-2.90
W 0.0000 0.5000 0.7539  6 W 2.62-2.90, 2 Mg 2.85

Summary:
Total magnetic moment   0.000 μB per formula unit
Raw total energy   -7.223 eV/atom
Theoretical density   11.33 Mg/m³
ΔE_f   0.34 eV per atom
Energy above the most stable polymorph in this dataset   36.7 meV/atom


Entry 16:
# La4SiSeCl2

A geometry-optimized La4SiSeCl2 structure (PBE-GGA, Alexandria via LeMat-Bulk).

Unit cell a=7.2935 b=4.3169 c=7.5126 alpha=90.00 beta=109.92 gamma=90.00
With the nearest neighbours (Å) after each atom.
Space group P2/m (No. 10)
Inequivalent atoms, fractional coordinates:
La 0.2357 0.0000 0.2356  2 Si 2.94, 3 Cl 3.03-3.12, 1 Se 3.04
La 0.2399 0.5000 0.7578  1 Si 2.92, 2 Se 3.03, 3 Cl 3.04-3.14
Si 0.0000 0.5000 0.0000  6 La 2.92-2.94
Se 0.0000 0.0000 0.5000  6 La 3.03-3.04
Cl 0.5000 0.0000 0.0000  6 La 3.03-3.04
Cl 0.5000 0.5000 0.5000  6 La 3.12-3.14

Summary:
Total magnetic moment   0.000 μB per formula unit
Raw total energy   -5.583 eV/atom
Theoretical density   5.48 Mg/m³
Uncorrected formation energy   -1545 meV per atom


Entry 17:
# SiSnOF2

A geometry-optimized SiSnOF2 structure (PBE-GGA, Alexandria via LeMat-Bulk).

Unit cell a=4.4457 b=4.4457 c=4.1256 alpha=90.00 beta=90.00 gamma=90.00
With the nearest neighbours (Å) after each atom.
Space group P4/mmm (No. 123)
Inequivalent atoms, fractional coordinates:
Si 0.0000 0.0000 0.0000  8 F 3.03, 4 O 3.14
Sn 0.5000 0.5000 0.5000  2 O 2.06, 4 F 2.22
O 0.5000 0.5000 0.0000  2 Sn 2.06
F 0.0000 0.5000 0.5000  2 Sn 2.22

Summary:
Total magnetic moment   0.000 μB per formula unit
Raw total energy   -4.545 eV/atom
Theoretical density   4.09 Mg/m³
Energy above the most stable polymorph in this dataset   495.4 meV/atom
Uncorrected formation energy   -920 meV per atom